1.
This record from the Alexandria database describes crystalline PaFe4H4 at its relaxed geometry. The functional is PBE.

Output
Theoretical density (g cm⁻³): 9.4
DOS at the Fermi energy (states/eV/f.u.): 7.30
E_tot (eV/atom): -6.226
Space group: P4_2/nmc (137)

Geometry as POSCAR:
```
PaFe4H4
1.0
-1.686 0.839 -5.993
1.628 -5.929 -1.288
-3.822 -1.245 0.901
Fe Pa H
8 2 8
direct
0.000 0.289 0.460 Fe
0.711 0.000 0.540 Fe
0.211 0.500 0.960 Fe
0.289 0.000 0.540 Fe
0.000 0.711 0.460 Fe
0.789 0.500 0.960 Fe
0.500 0.211 0.040 Fe
0.500 0.789 0.040 Fe
0.000 0.000 0.000 Pa
0.500 0.500 0.500 Pa
0.841 0.500 0.363 H
0.000 0.341 0.863 H
0.000 0.659 0.863 H
0.159 0.500 0.363 H
0.341 0.000 0.137 H
0.500 0.841 0.637 H
0.500 0.159 0.637 H
0.659 0.000 0.137 H
```

2.
This record from the Alexandria database describes crystalline PaFeH8Rh4 at its relaxed geometry. The functional is PBE.

Output
Theoretical density (g cm⁻³): 9.5
DOS at the Fermi energy (states/eV/f.u.): 3.30
E_tot (eV/atom): -5.443
Space group: R3m (160)

Geometry as POSCAR:
```
PaFeH8Rh4
1.0
-3.329 -3.873 -2.494
2.259 -4.802 -2.036
-1.001 -4.846 2.384
Rh H Fe Pa
4 8 1 1
direct
0.511 0.999 0.490 Rh
0.578 0.578 0.265 Rh
0.999 0.511 0.490 Rh
0.999 0.999 0.490 Rh
0.233 0.781 0.205 H
0.218 0.218 0.346 H
0.781 0.781 0.205 H
0.764 0.764 0.709 H
0.200 0.200 0.748 H
0.200 0.852 0.748 H
0.852 0.200 0.748 H
0.781 0.233 0.205 H
0.997 0.997 0.009 Fe
0.387 0.387 0.839 Pa
```

3.
This record from the Alexandria database describes crystalline PaFe2SiH at its relaxed geometry. The functional is PBE.

Output
Theoretical density (g cm⁻³): 9.8
DOS at the Fermi energy (states/eV/f.u.): 5.18
E_tot (eV/atom): -7.457
Space group: Cmcm (63)

Geometry as POSCAR:
```
PaFe2SiH
1.0
3.868 0.000 0.000
-1.934 5.278 0.000
0.000 0.000 6.161
Fe H Pa Si
4 2 2 2
direct
0.840 0.680 0.041 Fe
0.840 0.680 0.459 Fe
0.160 0.320 0.541 Fe
0.160 0.320 0.959 Fe
0.000 0.000 0.500 H
0.000 0.000 0.000 H
0.410 0.820 0.750 Pa
0.590 0.180 0.250 Pa
0.692 0.384 0.750 Si
0.308 0.616 0.250 Si
```

> The highest DOS at the Fermi energy belongs to which entry?

PaFe4H4

> theoretical density of number 1 (PaFe4H4)?

9.4 g cm⁻³

> Look up the DOS at the Fermi energy of the first one.

7.30 states/eV/f.u.

What did the second record say?
This record from the Alexandria database describes crystalline PaFeH8Rh4 at its relaxed geometry. The functional is PBE.

Output
Theoretical density (g cm⁻³): 9.5
DOS at the Fermi energy (states/eV/f.u.): 3.30
E_tot (eV/atom): -5.443
Space group: R3m (160)

Geometry as POSCAR:
```
PaFeH8Rh4
1.0
-3.329 -3.873 -2.494
2.259 -4.802 -2.036
-1.001 -4.846 2.384
Rh H Fe Pa
4 8 1 1
direct
0.511 0.999 0.490 Rh
0.578 0.578 0.265 Rh
0.999 0.511 0.490 Rh
0.999 0.999 0.490 Rh
0.233 0.781 0.205 H
0.218 0.218 0.346 H
0.781 0.781 0.205 H
0.764 0.764 0.709 H
0.200 0.200 0.748 H
0.200 0.852 0.748 H
0.852 0.200 0.748 H
0.781 0.233 0.205 H
0.997 0.997 0.009 Fe
0.387 0.387 0.839 Pa
```